[1]
# Hf2HRhSe | Alexandria | GGA-PBE | relaxed
data_Hf2HRhSe
_cell_length_a 4.9562
_cell_length_b 4.9562
_cell_length_c 4.4992
_cell_angle_alpha 90.00
_cell_angle_beta 90.00
_cell_angle_gamma 90.00
_symmetry_space_group_name_H-M 'P 4/m m m'
_symmetry_Int_Tables_number 123
_symmetry_space_group_name_Hall '-P 4 2'
loop_
_atom_site_label
_atom_site_type_symbol
_atom_site_fract_x
_atom_site_fract_y
_atom_site_fract_z
Hf1 Hf 0.0000 0.5000 0.0000
H1 H 0.0000 0.0000 0.5000
Rh1 Rh 0.5000 0.5000 0.5000
Se1 Se 0.5000 0.5000 0.0000
# magnetization: 0.00 μB per formula unit
# final energy: -5.981 eV/atom

---

[2]
# HfTcHRh2 | Alexandria | GGA-PBE | relaxed
data_HfTcHRh2
_cell_length_a 3.9858
_cell_length_b 3.9858
_cell_length_c 4.0499
_cell_angle_alpha 90.00
_cell_angle_beta 90.00
_cell_angle_gamma 90.00
_symmetry_space_group_name_H-M 'P 4/m m m'
_symmetry_Int_Tables_number 123
_symmetry_space_group_name_Hall '-P 4 2'
loop_
_atom_site_label
_atom_site_type_symbol
_atom_site_fract_x
_atom_site_fract_y
_atom_site_fract_z
Hf1 Hf 0.0000 0.0000 0.0000
Tc1 Tc 0.5000 0.5000 0.0000
H1 H 0.5000 0.5000 0.5000
Rh1 Rh 0.0000 0.5000 0.5000
# magnetization: 0.00 μB per formula unit
# ΔE to the lowest computed polymorph: 0.0000 eV/atom
# final energy: -8.104 eV/atom

---

[3]
# HfTcHRh2 | Alexandria | GGA-PBE | relaxed
data_HfTcHRh2
_cell_length_a 3.9416
_cell_length_b 3.9416
_cell_length_c 4.1434
_cell_angle_alpha 90.00
_cell_angle_beta 90.00
_cell_angle_gamma 90.00
_symmetry_space_group_name_H-M 'P 4/m m m'
_symmetry_Int_Tables_number 123
_symmetry_space_group_name_Hall '-P 4 2'
loop_
_atom_site_label
_atom_site_type_symbol
_atom_site_fract_x
_atom_site_fract_y
_atom_site_fract_z
Hf1 Hf 0.0000 0.0000 0.0000
Tc1 Tc 0.5000 0.5000 0.0000
H1 H 0.0000 0.0000 0.5000
Rh1 Rh 0.0000 0.5000 0.5000
# magnetization: 0.00 μB per formula unit
# ΔE to the lowest computed polymorph: 0.0560 eV/atom
# final energy: -8.048 eV/atom

---

[4]
# HfTeH2Rh | Alexandria | GGA-PBE | relaxed
data_HfTeH2Rh
_cell_length_a 3.7841
_cell_length_b 3.7841
_cell_length_c 5.6663
_cell_angle_alpha 90.00
_cell_angle_beta 90.00
_cell_angle_gamma 90.00
_symmetry_space_group_name_H-M 'P 4/m m m'
_symmetry_Int_Tables_number 123
_symmetry_space_group_name_Hall '-P 4 2'
loop_
_atom_site_label
_atom_site_type_symbol
_atom_site_fract_x
_atom_site_fract_y
_atom_site_fract_z
Hf1 Hf 0.0000 0.0000 0.0000
Te1 Te 0.0000 0.0000 0.5000
H1 H 0.0000 0.5000 0.0000
Rh1 Rh 0.5000 0.5000 0.5000
# magnetization: 0.00 μB per formula unit
# final energy: -5.399 eV/atom

---

[5]
# HfVH2Rh | Alexandria | GGA-PBE | relaxed
data_HfVH2Rh
_cell_length_a 3.6301
_cell_length_b 3.6301
_cell_length_c 5.3085
_cell_angle_alpha 90.00
_cell_angle_beta 90.00
_cell_angle_gamma 90.00
_symmetry_space_group_name_H-M 'P 4/m m m'
_symmetry_Int_Tables_number 123
_symmetry_space_group_name_Hall '-P 4 2'
loop_
_atom_site_label
_atom_site_type_symbol
_atom_site_fract_x
_atom_site_fract_y
_atom_site_fract_z
Hf1 Hf 0.0000 0.0000 0.0000
V1 V 0.5000 0.5000 0.5000
H1 H 0.0000 0.5000 0.0000
Rh1 Rh 0.0000 0.0000 0.5000
# magnetization: 1.90 μB per formula unit
# final energy: -6.350 eV/atom

---

[6]
# HfV2HRh | Alexandria | GGA-PBE | relaxed
data_HfV2HRh
_cell_length_a 3.7391
_cell_length_b 3.7391
_cell_length_c 4.6435
_cell_angle_alpha 90.00
_cell_angle_beta 90.00
_cell_angle_gamma 90.00
_symmetry_space_group_name_H-M 'P 4/m m m'
_symmetry_Int_Tables_number 123
_symmetry_space_group_name_Hall '-P 4 2'
loop_
_atom_site_label
_atom_site_type_symbol
_atom_site_fract_x
_atom_site_fract_y
_atom_site_fract_z
Hf1 Hf 0.0000 0.0000 0.0000
V1 V 0.0000 0.5000 0.5000
H1 H 0.0000 0.0000 0.5000
Rh1 Rh 0.5000 0.5000 0.0000
# magnetization: 0.00 μB per formula unit
# final energy: -8.022 eV/atom

---

[7]
# HfVHRh2 | Alexandria | GGA-PBE | relaxed
data_HfVHRh2
_cell_length_a 4.0518
_cell_length_b 4.0518
_cell_length_c 3.9247
_cell_angle_alpha 90.00
_cell_angle_beta 90.00
_cell_angle_gamma 90.00
_symmetry_space_group_name_H-M 'P 4/m m m'
_symmetry_Int_Tables_number 123
_symmetry_space_group_name_Hall '-P 4 2'
loop_
_atom_site_label
_atom_site_type_symbol
_atom_site_fract_x
_atom_site_fract_y
_atom_site_fract_z
Hf1 Hf 0.0000 0.0000 0.0000
V1 V 0.5000 0.5000 0.0000
H1 H 0.5000 0.5000 0.5000
Rh1 Rh 0.0000 0.5000 0.5000
# magnetization: 1.82 μB per formula unit
# final energy: -7.859 eV/atom

---

[8]
# Hf2VHRh | Alexandria | GGA-PBE | relaxed
data_Hf2VHRh
_cell_length_a 4.5547
_cell_length_b 4.5547
_cell_length_c 3.5775
_cell_angle_alpha 90.00
_cell_angle_beta 90.00
_cell_angle_gamma 90.00
_symmetry_space_group_name_H-M 'P 4/m m m'
_symmetry_Int_Tables_number 123
_symmetry_space_group_name_Hall '-P 4 2'
loop_
_atom_site_label
_atom_site_type_symbol
_atom_site_fract_x
_atom_site_fract_y
_atom_site_fract_z
Hf1 Hf 0.0000 0.5000 0.0000
V1 V 0.0000 0.0000 0.5000
H1 H 0.5000 0.5000 0.0000
Rh1 Rh 0.5000 0.5000 0.5000
# magnetization: 2.04 μB per formula unit
# ΔE to the lowest computed polymorph: 0.1006 eV/atom
# final energy: -8.249 eV/atom